Computed, not measured: a geometry-optimized H2RhO2 structure at the PBE-GGA level of DFT.

Lattice parameters (Å, degrees): 5.4311 2.8076 6.4155 90.00 108.48 90.00
With the nearest neighbours (Å) after each atom.
Space group C2/m (No. 12)
One atom of each set of equivalent atoms:
H1 0.2254 0.0000 0.1809  1 O 0.98
Rh1 0.0000 0.0000 0.5000  4 O 2.07
O1 0.0850 0.5000 0.7503  1 H 0.98

For the electronic total energy, the calculation gives -5.439 eV per atom. The value obtained for the volume is 9.3 Å³/atom.